[1]
DFT (PBE) results for AcPm2F8 after structural relaxation.

Properties
ΔE_f (raw) = -3.91 eV/atom
Total magnetic moment = 1.00 μB per cell
DOS(E_F) = 0.004 states/eV/f.u.
Raw total energy = -6.51 eV/atom

Lattice parameters (Å, degrees): 4.2597 5.9679 7.0551 114.05 106.28 92.92
With the nearest neighbours (Å) after each atom.
Positions (direct):
F  0.9668  0.0284  0.5802  2 Pm 2.53-2.55, 1 Ac 2.56, 4 F 2.66-2.83
F  0.6568  0.2138  0.9091  2 Pm 2.46, 3 F 2.47-2.59, 1 Ac 2.66
F  0.2923  0.5226  0.9091  2 Pm 2.37, 1 F 2.47, 1 Ac 2.56
F  0.7342  0.9656  0.1409  1 Pm 2.34, 1 Ac 2.56, 2 F 2.58-2.59
F  0.3132  0.8583  0.3063  3 Pm 2.46-2.53, 4 F 2.58-2.67
F  0.5024  0.7338  0.6772  1 Pm 2.34, 1 Ac 2.56, 2 F 2.58-2.59
F  0.2957  0.3572  0.2380  2 Pm 2.53-2.55, 1 Ac 2.56, 4 F 2.66-2.83
F  0.9160  0.4611  0.5119  3 Pm 2.46-2.53, 4 F 2.58-2.67
Pm  0.4467  0.3087  0.5933  8 F 2.34-2.55
Pm  0.7625  0.6246  0.2249  8 F 2.34-2.55
Ac  0.1135  0.9259  0.9091  9 F 2.56-2.81

[2]
DFT (PBE) results for Ac2PmF8 after structural relaxation.

Properties
ΔE_f (raw) = -3.89 eV/atom
Total magnetic moment = 0.17 μB per cell
DOS(E_F) = 1.846 states/eV/f.u.
Raw total energy = -6.43 eV/atom

Lattice parameters (Å, degrees): 4.3481 5.4671 7.5808 111.14 106.67 90.00
With the nearest neighbours (Å) after each atom.
Positions (direct):
F  0.1964  0.1964  0.3928  6 F 2.51-2.62, 2 Ac 2.76
F  0.6494  0.9087  0.2989  1 Pm 2.40, 4 F 2.51-2.63, 2 Ac 2.61
F  0.3506  0.6098  0.7011  1 Pm 2.40, 4 F 2.51-2.63, 2 Ac 2.61
F  0.3506  0.0913  0.7011  1 Pm 2.40, 4 F 2.51-2.63, 2 Ac 2.61
F  0.6494  0.3902  0.2989  1 Pm 2.40, 4 F 2.51-2.63, 2 Ac 2.61
F  0.0000  0.7667  0.0000  2 Pm 2.52, 1 F 2.55, 2 Ac 2.70
F  0.8036  0.8036  0.6072  6 F 2.51-2.62, 2 Ac 2.76
F  0.0000  0.2333  0.0000  2 Pm 2.52, 1 F 2.55, 2 Ac 2.70
Ac  0.1691  0.6691  0.3381  12 F 2.61-2.83
Ac  0.8309  0.3309  0.6619  12 F 2.61-2.83
Pm  0.5000  0.0000  0.0000  8 F 2.40-2.52

[3]
DFT (PBE) results for AcPm2F11 after structural relaxation.

Properties
ΔE_f (raw) = -3.43 eV/atom
Total magnetic moment = 4.32 μB per cell
DOS(E_F) = 15.897 states/eV/f.u.
Raw total energy = -5.88 eV/atom

Lattice parameters (Å, degrees): 8.7399 9.2296 9.2296 70.38 61.74 61.74
With the nearest neighbours (Å) after each atom.
Positions (direct):
F  0.3367  0.2936  0.4520  1 Pm 2.27, 1 Ac 2.52
F  0.0000  0.0000  0.0000  2 F 2.26, 2 Pm 2.43
F  0.0297  0.1865  0.5374  1 Pm 2.27, 1 Ac 2.50
F  0.3906  0.6927  0.3073  1 F 2.26, 2 Pm 2.33-2.40
F  0.5297  0.0374  0.6865  1 Pm 2.27, 1 Ac 2.50
F  0.6094  0.3073  0.6927  1 F 2.26, 2 Pm 2.33-2.40
F  0.0824  0.5480  0.7064  1 Pm 2.27, 1 Ac 2.52
F  0.7465  0.6865  0.0374  1 Pm 2.27, 1 Ac 2.50
F  0.4703  0.9626  0.3135  1 Pm 2.27, 1 Ac 2.50
F  0.2465  0.5374  0.1865  1 Pm 2.27, 1 Ac 2.50
F  0.9703  0.8135  0.4626  1 Pm 2.27, 1 Ac 2.50
F  0.7535  0.4626  0.8135  1 Pm 2.27, 1 Ac 2.50
F  0.5000  0.5000  0.5000  2 F 2.26, 2 Pm 2.43
F  0.4176  0.7936  0.9520  1 Pm 2.27, 1 Ac 2.52
F  0.2535  0.3135  0.9626  1 Pm 2.27, 1 Ac 2.50
F  0.1633  0.0480  0.2064  1 Pm 2.27, 1 Ac 2.52
F  0.9176  0.4520  0.2936  1 Pm 2.27, 1 Ac 2.52
F  0.8367  0.9520  0.7936  1 Pm 2.27, 1 Ac 2.52
F  0.1094  0.1927  0.8073  1 F 2.26, 2 Pm 2.33-2.40
F  0.8906  0.8073  0.1927  1 F 2.26, 2 Pm 2.33-2.40
F  0.6633  0.7064  0.5480  1 Pm 2.27, 1 Ac 2.52
F  0.5824  0.2064  0.0480  1 Pm 2.27, 1 Ac 2.52
Ac  0.2500  0.2500  0.2500  8 F 2.50-2.52
Ac  0.7500  0.7500  0.7500  8 F 2.50-2.52
Pm  0.6570  0.6891  0.3109  7 F 2.27-2.43
Pm  0.8430  0.1891  0.8109  7 F 2.27-2.43
Pm  0.3430  0.3109  0.6891  7 F 2.27-2.43
Pm  0.1570  0.8109  0.1891  7 F 2.27-2.43

[4]
DFT (PBE) results for Ac2PmF8 after structural relaxation.

Properties
ΔE_f (raw) = -3.92 eV/atom
Total magnetic moment = 0.99 μB per cell
DOS(E_F) = 0.868 states/eV/f.u.
Raw total energy = -6.46 eV/atom

Lattice parameters (Å, degrees): 4.1355 6.3869 7.4123 115.27 106.20 90.00
With the nearest neighbours (Å) after each atom.
Positions (direct):
F  0.9720  0.1747  0.9441  2 Pm 2.46, 1 Ac 2.66, 3 F 2.66-2.68
F  0.7879  0.6762  0.5757  3 Ac 2.50-2.63, 2 F 2.67-2.76
F  0.5797  0.4319  0.1593  1 Pm 2.47, 2 Ac 2.55, 4 F 2.66-2.77
F  0.6702  0.9220  0.3404  3 Ac 2.59-2.64, 1 Pm 2.68, 4 F 2.76-2.81
F  0.4203  0.5681  0.8407  1 Pm 2.47, 2 Ac 2.55, 4 F 2.66-2.77
F  0.0280  0.8253  0.0559  2 Pm 2.46, 1 Ac 2.66, 3 F 2.66-2.68
F  0.2121  0.3238  0.4243  3 Ac 2.50-2.63, 2 F 2.67-2.76
F  0.3298  0.0780  0.6596  3 Ac 2.59-2.64, 1 Pm 2.68, 4 F 2.76-2.81
Ac  0.1719  0.6669  0.3439  9 F 2.50-2.66
Ac  0.8281  0.3331  0.6561  9 F 2.50-2.66
Pm  0.5000  0.0000  0.0000  8 F 2.46-2.68

[5]
DFT (PBE) results for Ac2PmF after structural relaxation.

Properties
ΔE_f (raw) = -0.87 eV/atom
Total magnetic moment = 0.10 μB per cell
DOS(E_F) = 6.076 states/eV/f.u.
Raw total energy = -4.58 eV/atom

Lattice parameters (Å, degrees): 3.9286 3.9286 10.5190 79.24 79.24 60.00
With the nearest neighbours (Å) after each atom.
Positions (direct):
Ac  0.8853  0.8853  0.3442  3 F 2.78
Ac  0.1147  0.1147  0.6558  3 F 2.78
Pm  0.0000  0.0000  0.0000  2 Ac 3.54, 6 Pm 3.93
F  0.5000  0.5000  0.5000  6 Ac 2.78

[6]
DFT (PBE) results for Ac3PrF after structural relaxation.

Properties
ΔE_f (raw) = -0.97 eV/atom
Total magnetic moment = 0.00 μB per cell
DOS(E_F) = 4.767 states/eV/f.u.
Raw total energy = -4.77 eV/atom

Lattice parameters (Å, degrees): 5.5692 5.5692 5.5692 90.00 90.00 90.00
With the nearest neighbours (Å) after each atom.
Positions (direct):
Ac  0.5000  0.0000  0.0000  2 F 2.78
Ac  0.0000  0.0000  0.5000  2 F 2.78
Ac  0.0000  0.5000  0.0000  2 F 2.78
Pr  0.5000  0.5000  0.5000  12 Ac 3.94
F  0.0000  0.0000  0.0000  6 Ac 2.78

[7]
DFT (PBE) results for AcPrF after structural relaxation.

Properties
ΔE_f (raw) = -1.37 eV/atom
Total magnetic moment = 0.00 μB per cell
DOS(E_F) = 3.571 states/eV/f.u.
Raw total energy = -4.96 eV/atom

Lattice parameters (Å, degrees): 3.7522 3.7522 13.7517 90.00 90.00 120.00
With the nearest neighbours (Å) after each atom.
Positions (direct):
Pr  0.6667  0.3333  0.6739  3 F 2.86
Pr  0.6667  0.3333  0.2242  3 F 2.86
F  0.3333  0.6667  0.8092  3 Pr 2.86, 3 Ac 2.90
F  0.3333  0.6667  0.0889  3 Pr 2.86, 3 Ac 2.90
Ac  0.3333  0.6667  0.4491  6 Ac 3.75, 6 Pr 3.78
Ac  0.6667  0.3333  0.9490  6 F 2.90

[8]
DFT (PBE) results for Ac2PrF11 after structural relaxation.

Properties
ΔE_f (raw) = -3.44 eV/atom
Total magnetic moment = 4.37 μB per cell
DOS(E_F) = 15.058 states/eV/f.u.
Raw total energy = -5.84 eV/atom

Lattice parameters (Å, degrees): 9.1763 9.3205 9.3205 71.59 60.51 60.51
With the nearest neighbours (Å) after each atom.
Positions (direct):
Pr  0.7500  0.7500  0.7500  8 F 2.40
Pr  0.2500  0.2500  0.2500  8 F 2.40
F  0.3974  0.6815  0.3185  1 F 2.19
F  0.5492  0.0218  0.6824  1 Pr 2.40, 1 Ac 2.42
F  0.6731  0.7016  0.5633  1 Pr 2.40, 1 Ac 2.42
F  0.1026  0.1815  0.8185  1 F 2.19
F  0.5000  0.5000  0.5000  2 F 2.19
F  0.7534  0.4782  0.8176  1 Pr 2.40, 1 Ac 2.42
F  0.3269  0.2984  0.4367  1 Pr 2.40, 1 Ac 2.42
F  0.9380  0.4367  0.2984  1 Pr 2.40, 1 Ac 2.42
F  0.8269  0.9367  0.7984  1 Pr 2.40, 1 Ac 2.42
F  0.8974  0.8185  0.1815  1 F 2.19
F  0.0492  0.1824  0.5218  1 Pr 2.40, 1 Ac 2.42
F  0.2534  0.3176  0.9782  1 Pr 2.40, 1 Ac 2.42
F  0.5620  0.2016  0.0633  1 Pr 2.40, 1 Ac 2.42
F  0.4508  0.9782  0.3176  1 Pr 2.40, 1 Ac 2.42
F  0.9508  0.8176  0.4782  1 Pr 2.40, 1 Ac 2.42
F  0.1731  0.0633  0.2016  1 Pr 2.40, 1 Ac 2.42
F  0.6026  0.3185  0.6815  1 F 2.19
F  0.7466  0.6824  0.0218  1 Pr 2.40, 1 Ac 2.42
F  0.2466  0.5218  0.1824  1 Pr 2.40, 1 Ac 2.42
F  0.4380  0.7984  0.9367  1 Pr 2.40, 1 Ac 2.42
F  0.0620  0.5633  0.7016  1 Pr 2.40, 1 Ac 2.42
F  0.0000  0.0000  0.0000  2 F 2.19
Ac  0.1711  0.8076  0.1924  7 F 2.42-2.62
Ac  0.3289  0.3076  0.6924  7 F 2.42-2.62
Ac  0.8289  0.1924  0.8076  7 F 2.42-2.62
Ac  0.6711  0.6924  0.3076  7 F 2.42-2.62